A relaxed HgPt2Au crystal, computed with PBEsol.

Calculated values
- Crystal system: orthorhombic
- ΔE_f: 0.026 eV per atom
- Energy: -4.578 eV/atom
- Space-group type: No. 65
- DOS(E_F): 0.485 states/eV/atom
- Total magnetization: 0.00 μB/atom

POSCAR file:
```
HgPt2Au
1.0
2.9374 -3.8034 0.0000
2.9374 3.8034 0.0000
0.0000 0.0000 2.9593
Hg Pt Au
1 2 1
Direct
0.0000 0.0000 0.0000
0.0000 0.5000 0.5000
0.5000 0.0000 0.5000
0.5000 0.5000 0.0000
```